(1)
Compound: K2Sm2NpO6
Source: Alexandria
Functional: GGA-PBE
Structure: optimized geometry

Summary:
Spin magnetization in μB per formula unit: 3.00
Formation energy (no corrections) in kJ per mole of atoms: -264.7

Geometry as CIF:
```
data_K2Sm2NpO6
_symmetry_space_group_name_H-M 'C 1 2/m 1'
_symmetry_Int_Tables_number 12
_symmetry_space_group_name_Hall '-C 2y'
_cell_length_a 6.160
_cell_length_b 10.660
_cell_length_c 6.688
_cell_angle_alpha 90.00
_cell_angle_beta 107.31
_cell_angle_gamma 90.00
loop_
_atom_site_label
_atom_site_fract_x
_atom_site_fract_y
_atom_site_fract_z
_atom_site_occupancy
K1 0.000 0.167 0.000 1
Sm1 0.000 0.334 0.500 1
Np1 0.000 0.000 0.500 1
O1 0.213 0.165 0.676 1
O2 0.249 0.500 0.674 1
```


(2)
Compound: LaY3V
Source: Alexandria
Functional: GGA-PBE
Structure: optimized geometry

Summary:
Spin magnetization in μB per formula unit: 2.15
Relative energy among the computed polymorphs in meV/atom: 0
Energy of formation in meV per atom: 387.6

Geometry as CIF:
```
data_LaY3V
_symmetry_space_group_name_H-M 'P m -3 m'
_symmetry_Int_Tables_number 221
_symmetry_space_group_name_Hall '-P 4 2 3'
_cell_length_a 5.507
_cell_length_b 5.507
_cell_length_c 5.507
_cell_angle_alpha 90.00
_cell_angle_beta 90.00
_cell_angle_gamma 90.00
loop_
_atom_site_label
_atom_site_fract_x
_atom_site_fract_y
_atom_site_fract_z
_atom_site_occupancy
La1 0.000 0.000 0.000 1
Y1 0.000 0.500 0.500 1
V1 0.500 0.500 0.500 1
```


(3)
Compound: Mg2NiSe
Source: Alexandria
Functional: GGA-PBE
Structure: optimized geometry

Summary:
Spin magnetization in μB per formula unit: 0.00
Formation energy (no corrections) in kJ per mole of atoms: -28.4

Geometry as CIF:
```
data_Mg2NiSe
_symmetry_space_group_name_H-M 'P 4 m m'
_symmetry_Int_Tables_number 99
_symmetry_space_group_name_Hall 'P 4 -2'
_cell_length_a 3.610
_cell_length_b 3.610
_cell_length_c 5.558
_cell_angle_alpha 90.00
_cell_angle_beta 90.00
_cell_angle_gamma 90.00
loop_
_atom_site_label
_atom_site_fract_x
_atom_site_fract_y
_atom_site_fract_z
_atom_site_occupancy
Mg1 0.000 0.000 0.000 1
Mg2 0.500 0.500 0.332 1
Ni1 0.000 0.000 0.470 1
Se1 0.500 0.500 0.817 1
```